[1]
Material: CsGaGe3
Method: DFT, PBE
State: relaxed

Cell lengths 5.264, 5.264, 5.264 Å; angles 90.00, 90.00, 90.00 degrees
Element x y z (fractional)
Ge  0.500  0.000  0.000
Ga  0.000  0.000  0.000
Ge  0.000  0.500  0.000
Cs  0.500  0.500  0.500
Ge  0.000  0.000  0.500

## Properties
calculated density: 4.79 g cm⁻³
ΔE_f: 0.49 eV/atom
polymorph energy (0 for the lowest one): 0.542 eV per atom
space-group type: Pm-3m (221)

[2]
Material: CsGa3Ge3
Method: DFT, PBE
State: relaxed

Cell lengths 7.211, 7.211, 7.211 Å; angles 90.00, 90.00, 90.00 degrees
Element x y z (fractional)
Ge  0.750  0.500  0.000
Ge  0.000  0.750  0.500
Ge  0.000  0.250  0.500
Ga  0.750  0.000  0.500
Cs  0.000  0.000  0.000
Ga  0.250  0.000  0.500
Ge  0.500  0.000  0.250
Ge  0.500  0.000  0.750
Ga  0.500  0.250  0.000
Ga  0.000  0.500  0.250
Cs  0.500  0.500  0.500
Ga  0.000  0.500  0.750
Ga  0.500  0.750  0.000
Ge  0.250  0.500  0.000

## Properties
calculated density: 4.96 g cm⁻³
ΔE_f: -0.09 eV/atom
polymorph energy (0 for the lowest one): 0.000 eV per atom
space-group type: Pm-3n (223)

[3]
Material: Cs2Ga2Ge3
Method: DFT, PBE
State: relaxed

Cell lengths 4.124, 8.614, 6.978 Å; angles 92.72, 72.92, 103.83 degrees
Element x y z (fractional)
Ge  0.000  0.000  0.000
Cs  0.134  0.740  0.468
Ga  0.554  0.173  0.065
Ge  0.318  0.525  0.888
Cs  0.866  0.260  0.532
Ge  0.682  0.475  0.112
Ga  0.446  0.827  0.935

## Properties
calculated density: 4.50 g cm⁻³
ΔE_f: -0.05 eV/atom
space-group type: P-1 (2)

[4]
Material: CsGa4Ge2
Method: DFT, PBE
State: relaxed

Cell lengths 4.753, 4.753, 9.616 Å; angles 75.69, 75.69, 60.00 degrees
Element x y z (fractional)
Ge  0.238  0.238  0.285
Cs  0.000  0.000  0.000
Ga  0.141  0.141  0.576
Ga  0.449  0.449  0.652
Ga  0.859  0.859  0.424
Ga  0.551  0.551  0.348
Ge  0.762  0.762  0.715

## Properties
calculated density: 5.13 g cm⁻³
ΔE_f: -0.02 eV/atom
polymorph energy (0 for the lowest one): 0.057 eV per atom
space-group type: R-3m (166)

[5]
Material: Cs3GaGe
Method: DFT, PBE
State: relaxed

Cell lengths 7.061, 7.061, 7.061 Å; angles 90.00, 90.00, 90.00 degrees
Element x y z (fractional)
Ge  0.000  0.000  0.000
Cs  0.000  0.500  0.000
Ga  0.500  0.500  0.500
Cs  0.500  0.000  0.000
Cs  0.000  0.000  0.500

## Properties
calculated density: 2.55 g cm⁻³
ΔE_f: 0.47 eV/atom
polymorph energy (0 for the lowest one): 0.433 eV per atom
space-group type: Pm-3m (221)

[6]
Material: Cs2Ga5Ge3
Method: DFT, PBE
State: relaxed

Cell lengths 6.715, 9.370, 9.370 Å; angles 71.04, 69.00, 69.00 degrees
Element x y z (fractional)
Ge  0.380  0.492  0.747
Ga  0.991  0.259  0.259
Ga  0.750  0.500  0.500
Cs  0.628  0.118  0.627
Ga  0.009  0.741  0.741
Ge  0.120  0.253  0.508
Ge  0.880  0.747  0.492
Ge  0.750  0.000  0.000
Ga  0.877  0.003  0.243
Ga  0.377  0.243  0.003
Ga  0.491  0.259  0.259
Cs  0.872  0.373  0.882
Ga  0.250  0.500  0.500
Cs  0.128  0.627  0.118
Ga  0.509  0.741  0.741
Ge  0.250  0.000  0.000
Ga  0.623  0.757  0.997
Ga  0.123  0.997  0.757
Cs  0.372  0.882  0.373
Ge  0.620  0.508  0.253

## Properties
calculated density: 5.52 g cm⁻³
ΔE_f: -0.08 eV/atom
space-group type: Ibam (72)